[1]
The following is a PBEsol calculation of Ni3Mo2 after structural relaxation, from Alexandria via LeMat-Bulk. Values from VASP.

The value obtained for the energy of formation is 52.7 kJ per mole of atoms. As for the symmetry: No. 164. The mass density is 8.72 g/cm3. The value obtained for the density of states at the Fermi level is 6.7 states/eV/f.u. Its crystal system is trigonal.

```
&SYSTEM
  ibrav = 0, nat = 5, ntyp = 2
/
ATOMIC_SPECIES
Ni 58.69 Ni.upf
Mo 95.94 Mo.upf
CELL_PARAMETERS angstrom
3.985 0.000 0.000
-1.992 3.451 0.000
0.000 0.000 5.099
ATOMIC_POSITIONS angstrom
Ni 0.000 0.000 0.000
Ni 0.000 2.300 1.881
Ni 1.992 1.150 3.218
Mo 0.000 2.300 4.304
Mo 1.992 1.150 0.795
```

[2]
The following is a PBEsol calculation of Ni3Mo4 after structural relaxation, from Alexandria via LeMat-Bulk. Values from VASP.

The value obtained for the energy of formation is -0.6 kJ per mole of atoms. As for the symmetry: No. 191. The mass density is 10.19 g/cm3. The value obtained for the density of states at the Fermi level is 8.0 states/eV/f.u. Its crystal system is hexagonal.

```
&SYSTEM
  ibrav = 0, nat = 7, ntyp = 2
/
ATOMIC_SPECIES
Ni 58.69 Ni.upf
Mo 95.94 Mo.upf
CELL_PARAMETERS angstrom
4.701 0.000 0.000
-2.351 4.071 0.000
0.000 0.000 4.765
ATOMIC_POSITIONS angstrom
Ni -1.175 2.036 0.000
Ni 2.351 0.000 0.000
Ni 1.175 2.036 0.000
Mo 0.000 0.000 1.235
Mo 0.000 0.000 3.530
Mo 0.000 2.714 2.383
Mo 2.351 1.357 2.383
```

[3]
The following is a PBEsol calculation of Ni5Mo after structural relaxation, from Alexandria via LeMat-Bulk. Values from VASP.

The value obtained for the energy of formation is -6.3 kJ per mole of atoms. As for the symmetry: No. 189. The mass density is 9.75 g/cm3. The value obtained for the density of states at the Fermi level is 7.3 states/eV/f.u. Its crystal system is hexagonal.

```
&SYSTEM
  ibrav = 0, nat = 6, ntyp = 2
/
ATOMIC_SPECIES
Ni 58.69 Ni.upf
Mo 95.94 Mo.upf
CELL_PARAMETERS angstrom
4.348 0.000 0.000
-2.174 3.765 0.000
0.000 0.000 4.049
ATOMIC_POSITIONS angstrom
Ni -0.745 1.291 0.000
Ni 0.000 2.510 2.024
Ni 1.491 0.000 0.000
Ni 1.429 2.474 0.000
Ni 2.174 1.255 2.024
Mo 0.000 0.000 2.024
```

[4]
The following is a PBEsol calculation of Ni2Mo after structural relaxation, from Alexandria via LeMat-Bulk. Values from VASP.

The value obtained for the energy of formation is -2.5 kJ per mole of atoms. As for the symmetry: No. 62. The mass density is 9.91 g/cm3. The value obtained for the distance to the lowest polymorph of the same formula is 0.26 eV/f.u. The value obtained for the density of states at the Fermi level is 3.3 states/eV/f.u. Its crystal system is orthorhombic.

```
&SYSTEM
  ibrav = 0, nat = 12, ntyp = 2
/
ATOMIC_SPECIES
Ni 58.69 Ni.upf
Mo 95.94 Mo.upf
CELL_PARAMETERS angstrom
5.259 0.000 0.000
0.000 3.479 0.000
0.000 0.000 7.817
ATOMIC_POSITIONS angstrom
Ni 0.626 0.870 0.657
Ni 0.689 0.870 5.857
Ni 1.941 2.609 1.949
Ni 2.004 2.609 4.566
Ni 3.255 0.870 3.252
Ni 3.318 0.870 5.869
Ni 4.570 2.609 1.960
Ni 4.633 2.609 7.160
Mo 0.691 0.870 3.248
Mo 1.939 2.609 7.157
Mo 3.320 0.870 0.661
Mo 4.568 2.609 4.569
```

[5]
The following is a PBEsol calculation of NiMo after structural relaxation, from Alexandria via LeMat-Bulk. Values from VASP.

The value obtained for the energy of formation is -0.8 kJ per mole of atoms. As for the symmetry: No. 123. The mass density is 10.11 g/cm3. The value obtained for the density of states at the Fermi level is 2.2 states/eV/f.u. Its crystal system is tetragonal.

```
&SYSTEM
  ibrav = 0, nat = 2, ntyp = 2
/
ATOMIC_SPECIES
Ni 58.69 Ni.upf
Mo 95.94 Mo.upf
CELL_PARAMETERS angstrom
2.593 0.000 0.000
0.000 2.593 0.000
0.000 0.000 3.775
ATOMIC_POSITIONS angstrom
Ni 0.000 0.000 0.000
Mo 1.297 1.297 1.888
```

[6]
The following is a PBEsol calculation of Ni5Mo after structural relaxation, from Alexandria via LeMat-Bulk. Values from VASP.

The value obtained for the energy of formation is 0.9 kJ per mole of atoms. As for the symmetry: No. 8. The mass density is 9.67 g/cm3. The value obtained for the density of states at the Fermi level is 8.8 states/eV/f.u. Its crystal system is monoclinic.

```
&SYSTEM
  ibrav = 0, nat = 6, ntyp = 2
/
ATOMIC_SPECIES
Ni 58.69 Ni.upf
Mo 95.94 Mo.upf
CELL_PARAMETERS angstrom
4.633 -1.274 0.000
4.633 1.274 0.000
-1.555 0.000 5.667
ATOMIC_POSITIONS angstrom
Ni 0.000 0.000 0.000
Ni -0.475 0.000 3.474
Ni 2.057 0.000 3.840
Ni 3.205 0.000 1.529
Ni 5.187 0.000 5.338
Mo 5.686 0.000 1.928
```

[7]
The following is a PBEsol calculation of Ni2Mo after structural relaxation, from Alexandria via LeMat-Bulk. Values from VASP.

The value obtained for the energy of formation is -2.4 kJ per mole of atoms. As for the symmetry: No. 12. The mass density is 9.91 g/cm3. The value obtained for the distance to the lowest polymorph of the same formula is 0.26 eV/f.u. The value obtained for the density of states at the Fermi level is 3.3 states/eV/f.u. Its crystal system is monoclinic.

```
&SYSTEM
  ibrav = 0, nat = 6, ntyp = 2
/
ATOMIC_SPECIES
Ni 58.69 Ni.upf
Mo 95.94 Mo.upf
CELL_PARAMETERS angstrom
4.691 -1.296 0.000
4.691 1.296 0.000
-1.664 0.000 5.879
ATOMIC_POSITIONS angstrom
Ni 1.316 0.000 0.209
Ni 0.792 0.000 3.726
Ni 6.925 0.000 2.152
Ni 6.402 0.000 5.670
Mo 3.303 0.000 4.149
Mo 4.415 0.000 1.730
```

[8]
The following is a PBEsol calculation of NiMoO4 after structural relaxation, from Alexandria via LeMat-Bulk. Values from VASP.

As for the symmetry: No. 13. The mass density is 5.95 g/cm3. The calculation puts the uncorrected formation energy at -1.544 eV per atom. The value obtained for the density of states at the Fermi level is 0.4 states/eV/f.u. Its crystal system is monoclinic.

```
&SYSTEM
  ibrav = 0, nat = 12, ntyp = 3
/
ATOMIC_SPECIES
Ni 58.69 Ni.upf
Mo 95.94 Mo.upf
O 16.00 O.upf
CELL_PARAMETERS angstrom
4.493 0.000 0.000
0.000 5.599 0.000
-0.052 0.000 4.851
ATOMIC_POSITIONS angstrom
Ni -0.013 0.862 1.213
Ni -0.039 4.737 3.638
Mo 2.207 1.783 3.638
Mo 2.233 3.816 1.213
O 1.020 0.669 4.412
O 1.046 4.930 1.987
O 1.209 2.178 2.075
O 1.183 3.421 4.500
O 3.258 2.178 0.350
O 3.232 3.421 2.775
O 3.395 0.669 2.864
O 3.421 4.930 0.439
```

[9]
The following is a PBEsol calculation of NiMoP2O after structural relaxation, from Alexandria via LeMat-Bulk. Values from VASP.

As for the symmetry: No. 123. The mass density is 5.74 g/cm3. The calculation puts the uncorrected formation energy at 0.329 eV per atom. The value obtained for the density of states at the Fermi level is 3.8 states/eV/f.u. Its crystal system is tetragonal.

```
&SYSTEM
  ibrav = 0, nat = 5, ntyp = 4
/
ATOMIC_SPECIES
Ni 58.69 Ni.upf
Mo 95.94 Mo.upf
P 30.97 P.upf
O 16.00 O.upf
CELL_PARAMETERS angstrom
4.492 0.000 0.000
0.000 4.492 0.000
0.000 0.000 3.334
ATOMIC_POSITIONS angstrom
Ni 0.000 0.000 0.000
Mo 2.246 2.246 1.667
P 0.000 2.246 0.000
P 2.246 0.000 0.000
O 0.000 0.000 1.667
```

[10]
The following is a PBEsol calculation of RbNi2MoO after structural relaxation, from Alexandria via LeMat-Bulk. Values from VASP.

As for the symmetry: No. 123. The mass density is 5.96 g/cm3. The calculation puts the uncorrected formation energy at 2.308 eV per atom. The value obtained for the density of states at the Fermi level is 6.1 states/eV/f.u. Its crystal system is tetragonal.

```
&SYSTEM
  ibrav = 0, nat = 5, ntyp = 4
/
ATOMIC_SPECIES
Rb 85.47 Rb.upf
Ni 58.69 Ni.upf
Mo 95.94 Mo.upf
O 16.00 O.upf
CELL_PARAMETERS angstrom
4.556 0.000 0.000
0.000 4.556 0.000
0.000 0.000 4.229
ATOMIC_POSITIONS angstrom
Rb 0.000 0.000 0.000
Ni 0.000 2.278 0.000
Ni 2.278 0.000 0.000
Mo 2.278 2.278 2.114
O 0.000 0.000 2.114
```

[11]
The following is a PBEsol calculation of NiMoSeO2 after structural relaxation, from Alexandria via LeMat-Bulk. Values from VASP.

As for the symmetry: No. 123. The mass density is 6.38 g/cm3. The calculation puts the uncorrected formation energy at 0.801 eV per atom. The value obtained for the density of states at the Fermi level is 5.4 states/eV/f.u. Its crystal system is tetragonal.

```
&SYSTEM
  ibrav = 0, nat = 5, ntyp = 4
/
ATOMIC_SPECIES
Ni 58.69 Ni.upf
Mo 95.94 Mo.upf
Se 78.96 Se.upf
O 16.00 O.upf
CELL_PARAMETERS angstrom
3.675 0.000 0.000
0.000 3.675 0.000
0.000 0.000 5.116
ATOMIC_POSITIONS angstrom
Ni 0.000 0.000 0.000
Mo 1.838 1.838 0.000
Se 1.838 1.838 2.558
O 0.000 1.838 2.558
O 1.838 0.000 2.558
```

[12]
The following is a PBEsol calculation of Sr2NiMoO6 after structural relaxation, from Alexandria via LeMat-Bulk. Values from VASP.

As for the symmetry: No. 87. The mass density is 5.97 g/cm3. The calculation puts the uncorrected formation energy at -2.258 eV per atom. The value obtained for the density of states at the Fermi level is 0.0 states/eV/f.u. Its crystal system is tetragonal.

```
&SYSTEM
  ibrav = 0, nat = 10, ntyp = 4
/
ATOMIC_SPECIES
Sr 87.62 Sr.upf
Ni 58.69 Ni.upf
Mo 95.94 Mo.upf
O 16.00 O.upf
CELL_PARAMETERS angstrom
-2.744 2.744 3.934
2.744 -2.744 3.934
2.744 2.744 -3.934
ATOMIC_POSITIONS angstrom
Sr 2.744 0.000 1.967
Sr 0.000 2.744 1.967
Ni 0.000 0.000 0.000
Mo 0.000 0.000 3.934
O 3.891 1.215 0.000
O 0.000 0.000 2.018
O 1.215 1.597 0.000
O 1.529 1.147 3.934
O 0.000 0.000 5.851
O -1.147 1.529 3.934
```